## SrPaCu (PBE)

Data for a relaxed SrPaCu crystal.

Summary:
energy above the most stable polymorph in this dataset: 0 meV/atom

CIF file:
```
data_SrPaCu
_space_group_name_H-M_alt 'F -4 3 m'
_space_group_IT_number 216
_space_group_name_Hall 'F -4 2 3'
_cell_length_a 6.8117
_cell_length_b 6.8117
_cell_length_c 6.8117
_cell_angle_alpha 90.00
_cell_angle_beta 90.00
_cell_angle_gamma 90.00
loop_
_atom_site_label
_atom_site_fract_x
_atom_site_fract_y
_atom_site_fract_z
_atom_site_occupancy
Sr1 0.0000 0.0000 0.0000 1
Pa1 0.2500 0.2500 0.7500 1
Cu1 0.0000 0.0000 0.5000 1
```

## RbTmSeO (PBE)

Data for a relaxed RbTmSeO crystal.

Summary:
energy above the most stable polymorph in this dataset: 70 meV/atom

CIF file:
```
data_RbTmSeO
_space_group_name_H-M_alt 'P m c 21'
_space_group_IT_number 26
_cell_length_a 4.4702
_cell_length_b 8.4289
_cell_length_c 6.6865
_cell_angle_alpha 90.00
_cell_angle_beta 90.00
_cell_angle_gamma 90.00
loop_
_space_group_symop_operation_xyz
'x,y,z'
'-x,-y,z+1/2'
'-x,y,z'
'x,-y,z+1/2'
loop_
_atom_site_label
_atom_site_fract_x
_atom_site_fract_y
_atom_site_fract_z
_atom_site_occupancy
Rb1 0.0000 0.1993 0.0000 1
Tm1 0.5000 0.3839 0.4286 1
Se1 0.0000 0.2065 0.5061 1
O1 0.5000 0.4234 0.1208 1
```

## NbOsPb2 (PBE)

Data for a relaxed NbOsPb2 crystal.

CIF file:
```
data_NbOsPb2
_space_group_name_H-M_alt 'F -4 3 m'
_space_group_IT_number 216
_space_group_name_Hall 'F -4 2 3'
_cell_length_a 6.9304
_cell_length_b 6.9304
_cell_length_c 6.9304
_cell_angle_alpha 90.00
_cell_angle_beta 90.00
_cell_angle_gamma 90.00
loop_
_atom_site_label
_atom_site_fract_x
_atom_site_fract_y
_atom_site_fract_z
_atom_site_occupancy
Nb1 0.0000 0.0000 0.0000 1
Os1 0.2500 0.2500 0.2500 1
Pb1 0.0000 0.0000 0.5000 1
Pb2 0.2500 0.2500 0.7500 1
```

## PmMgHg (PBE)

Data for a relaxed PmMgHg crystal.

Summary:
energy above the most stable polymorph in this dataset: 390 meV/atom

CIF file:
```
data_PmMgHg
_space_group_name_H-M_alt 'F -4 3 m'
_space_group_IT_number 216
_space_group_name_Hall 'F -4 2 3'
_cell_length_a 7.1753
_cell_length_b 7.1753
_cell_length_c 7.1753
_cell_angle_alpha 90.00
_cell_angle_beta 90.00
_cell_angle_gamma 90.00
loop_
_atom_site_label
_atom_site_fract_x
_atom_site_fract_y
_atom_site_fract_z
_atom_site_occupancy
Pm1 0.0000 0.0000 0.0000 1
Mg1 0.2500 0.2500 0.2500 1
Hg1 0.2500 0.2500 0.7500 1
```

## Er2Lu5Ni2Te2 (PBE)

Data for a relaxed Er2Lu5Ni2Te2 crystal.

Summary:
energy above the most stable polymorph in this dataset: 2 meV/atom

CIF file:
```
data_Er2Lu5Ni2Te2
_space_group_name_H-M_alt 'I m m 2'
_space_group_IT_number 44
_cell_length_a 3.7998
_cell_length_b 15.2617
_cell_length_c 9.4679
_cell_angle_alpha 90.00
_cell_angle_beta 90.00
_cell_angle_gamma 90.00
loop_
_space_group_symop_operation_xyz
'x,y,z'
'-x,-y,z'
'-x,y,z'
'x,-y,z'
'x+1/2,y+1/2,z+1/2'
'-x+1/2,-y+1/2,z+1/2'
'-x+1/2,y+1/2,z+1/2'
'x+1/2,-y+1/2,z+1/2'
loop_
_atom_site_label
_atom_site_fract_x
_atom_site_fract_y
_atom_site_fract_z
_atom_site_occupancy
Er1 0.0000 0.1344 0.0000 1
Lu1 0.0000 0.0000 0.4200 1
Lu2 0.0000 0.3147 0.7963 1
Lu3 0.0000 0.3535 0.1460 1
Ni1 0.0000 0.2351 0.4886 1
Te1 0.0000 0.0000 0.7554 1
Te2 0.0000 0.5000 0.6546 1
```

## ZnS (PBE)

Data for a relaxed ZnS crystal.

CIF file:
```
data_ZnS
_space_group_name_H-M_alt 'R 3 m'
_space_group_IT_number 160
_space_group_name_Hall 'R 3 -2"'
_cell_length_a 3.8360
_cell_length_b 3.8360
_cell_length_c 112.8412
_cell_angle_alpha 90.00
_cell_angle_beta 90.00
_cell_angle_gamma 120.00
loop_
_atom_site_label
_atom_site_fract_x
_atom_site_fract_y
_atom_site_fract_z
_atom_site_occupancy
Zn1 0.0000 0.0000 0.0000 1
Zn2 0.0000 0.0000 0.0556 1
Zn3 0.0000 0.0000 0.1111 1
Zn4 0.0000 0.0000 0.1944 1
Zn5 0.0000 0.0000 0.2778 1
Zn6 0.0000 0.0000 0.3611 1
Zn7 0.0000 0.0000 0.4722 1
Zn8 0.0000 0.0000 0.5556 1
Zn9 0.0000 0.0000 0.6389 1
Zn10 0.0000 0.0000 0.7500 1
Zn11 0.0000 0.0000 0.8333 1
Zn12 0.0000 0.0000 0.9167 1
S1 0.0000 0.0000 0.0347 1
S2 0.0000 0.0000 0.0903 1
S3 0.0000 0.0000 0.1736 1
S4 0.0000 0.0000 0.2570 1
S5 0.0000 0.0000 0.3403 1
S6 0.0000 0.0000 0.4514 1
S7 0.0000 0.0000 0.5347 1
S8 0.0000 0.0000 0.6181 1
S9 0.0000 0.0000 0.7292 1
S10 0.0000 0.0000 0.8125 1
S11 0.0000 0.0000 0.8958 1
S12 0.0000 0.0000 0.9792 1
```

Ordered raw total energy results: -0.271, -0.415, -0.471, -0.150, -0.378, -0.258; unit Ry/atom.